Record 1
Compound: Ag2SbS2
Source: Alexandria via LeMat-Bulk
Functional: PBE-GGA
Structure: relaxed

a = 4.4737 Å, b = 4.6291 Å, c = 11.4024 Å
α = 102.24°, β = 90.00°, γ = 90.00°
Closest atoms and distances in Å follow each position.
Positions (direct):
Ag 0.2500 0.2583 0.7046  3 S 2.50-2.55
Ag 0.2500 0.1318 0.4397  2 S 2.49
Ag 0.7500 0.8682 0.5603  2 S 2.49
Ag 0.7500 0.7417 0.2954  3 S 2.50-2.55
Sb 0.7500 0.6496 0.9335  1 S 2.49
Sb 0.2500 0.3504 0.0665  1 S 2.49
S 0.7500 0.4108 0.6420  4 Ag 2.49-2.50
S 0.7500 0.0236 0.1260  1 Sb 2.49, 1 Ag 2.55
S 0.2500 0.9764 0.8740  1 Sb 2.49, 1 Ag 2.55
S 0.2500 0.5892 0.3580  4 Ag 2.49-2.50

Results
excess energy over the best structure of this formula in the dataset: 0.000 eV per atom
energy relative to the elements, uncorrected: -0.024 eV/atom
spin magnetization: 0.00 μB/f.u.

Record 2
Compound: AgSbS2
Source: Alexandria via LeMat-Bulk
Functional: PBE-GGA
Structure: relaxed

a = 3.8194 Å, b = 3.8194 Å, c = 7.1707 Å
α = 74.55°, β = 74.55°, γ = 60.00°
Closest atoms and distances in Å follow each position.
Positions (direct):
Ag 0.6667 0.6667 0.0000  6 S 2.75-2.76
Sb 0.4995 0.4995 0.5016  6 S 2.81-2.83
S 0.0812 0.0812 0.7565  3 Ag 2.76, 3 Sb 2.81
S 0.2527 0.2527 0.2419  3 Ag 2.75, 3 Sb 2.83

Results
energy relative to the elements, uncorrected: -0.040 eV/atom
spin magnetization: 0.00 μB/f.u.

Record 3
Compound: AgSbS2
Source: Alexandria via LeMat-Bulk
Functional: PBE-GGA
Structure: relaxed

a = 3.9513 Å, b = 7.8589 Å, c = 7.6886 Å
α = 104.40°, β = 90.00°, γ = 90.00°
Closest atoms and distances in Å follow each position.
Positions (direct):
Ag 0.2500 0.3516 0.9898  2 S 2.38-2.39
Ag 0.7500 0.6484 0.0102  2 S 2.38-2.39
Sb 0.2500 0.7333 0.4956  3 S 2.51-2.65
Sb 0.7500 0.2667 0.5044  3 S 2.51-2.65
S 0.7500 0.8290 0.3103  1 Ag 2.39, 2 Sb 2.65
S 0.2500 0.4221 0.3097  1 Ag 2.38, 1 Sb 2.51
S 0.7500 0.5779 0.6903  1 Ag 2.38, 1 Sb 2.51
S 0.2500 0.1710 0.6897  1 Ag 2.39, 2 Sb 2.65

Results
energy relative to the elements, uncorrected: -0.145 eV/atom
spin magnetization: 0.00 μB/f.u.

Record 4
Compound: AgSbS2
Source: Alexandria via LeMat-Bulk
Functional: PBE-GGA
Structure: relaxed

a = 10.5014 Å, b = 10.5014 Å, c = 10.3318 Å
α = 63.33°, β = 63.33°, γ = 32.39°
Closest atoms and distances in Å follow each position.
Positions (direct):
Ag 0.9952 0.9959 0.0064  2 S 2.40
Ag 0.4960 0.4950 0.5064  2 S 2.39
Ag 0.4950 0.4960 0.0064  2 S 2.39
Ag 0.9959 0.9952 0.5064  2 S 2.40
Sb 0.4565 0.9066 0.8825  3 S 2.46-2.51
Sb 0.0847 0.5345 0.6298  3 S 2.46-2.51
Sb 0.9066 0.4565 0.3825  3 S 2.46-2.51
Sb 0.5345 0.0847 0.1298  3 S 2.46-2.51
S 0.9264 0.6384 0.1352  2 Sb 2.46-2.51
S 0.8272 0.3295 0.3151  2 Ag 2.39-2.40, 1 Sb 2.49
S 0.6610 0.1643 0.1976  2 Ag 2.39-2.40, 1 Sb 2.49
S 0.1643 0.6610 0.6976  2 Ag 2.39-2.40, 1 Sb 2.49
S 0.3528 0.0644 0.3770  2 Sb 2.46-2.51
S 0.0644 0.3528 0.8770  2 Sb 2.46-2.51
S 0.6384 0.9264 0.6352  2 Sb 2.46-2.51
S 0.3295 0.8272 0.8151  2 Ag 2.39-2.40, 1 Sb 2.49

Results
energy relative to the elements, uncorrected: -0.138 eV/atom
spin magnetization: 0.00 μB/f.u.

Record 5
Compound: AgSbS2
Source: Alexandria via LeMat-Bulk
Functional: PBE-GGA
Structure: relaxed

a = 7.9978 Å, b = 7.9978 Å, c = 7.9978 Å
α = 29.48°, β = 29.48°, γ = 29.48°
Closest atoms and distances in Å follow each position.
Positions (direct):
Sb 0.5000 0.5000 0.5000  6 S 2.77
S 0.8972 0.8972 0.8972  1 Ag 2.36
S 0.1028 0.1028 0.1028  1 Ag 2.36
Ag 0.0000 0.0000 0.0000  2 S 2.36

Results
energy relative to the elements, uncorrected: -0.112 eV/atom
spin magnetization: 0.00 μB/f.u.

Record 6
Compound: AgSbS2
Source: Alexandria via LeMat-Bulk
Functional: PBE-GGA
Structure: relaxed

a = 5.6410 Å, b = 5.6422 Å, c = 6.8671 Å
α = 113.44°, β = 113.78°, γ = 91.42°
Closest atoms and distances in Å follow each position.
Positions (direct):
Sb 0.0079 0.9870 0.9989  3 S 2.51-2.79
Sb 0.7581 0.2372 0.4988  3 S 2.51-2.79
S 0.9913 0.5403 0.9967  1 Sb 2.51, 1 Ag 2.62
S 0.4585 0.0053 0.0065  2 Sb 2.52-2.79, 1 Ag 2.62
S 0.2027 0.2519 0.4966  1 Sb 2.51, 1 Ag 2.62
S 0.7475 0.7943 0.5064  2 Sb 2.52-2.79, 1 Ag 2.63
Ag 0.2815 0.7114 0.4957  4 S 2.62-2.92
Ag 0.5310 0.4607 0.9961  4 S 2.62-2.92

Results
energy relative to the elements, uncorrected: -0.155 eV/atom
spin magnetization: 0.00 μB/f.u.

Record 7
Compound: AgSb2S3
Source: Alexandria via LeMat-Bulk
Functional: PBE-GGA
Structure: relaxed

a = 5.8198 Å, b = 7.5212 Å, c = 7.5212 Å
α = 101.34°, β = 90.00°, γ = 90.00°
Closest atoms and distances in Å follow each position.
Positions (direct):
Ag 0.9947 0.8576 0.8576  4 S 2.60-2.90
Ag 0.4947 0.1424 0.1424  4 S 2.60-2.90
Sb 0.4928 0.8279 0.5217  2 S 2.47-2.57
Sb 0.9928 0.4783 0.1721  2 S 2.47-2.57
Sb 0.4928 0.5217 0.8279  2 S 2.47-2.57
Sb 0.9928 0.1721 0.4783  2 S 2.47-2.57
S 0.9923 0.8505 0.5066  1 Sb 2.47, 1 Ag 2.63
S 0.4923 0.4934 0.1495  1 Sb 2.47, 1 Ag 2.63
S 0.9923 0.5066 0.8505  1 Sb 2.47, 1 Ag 2.63
S 0.4923 0.1495 0.4934  1 Sb 2.47, 1 Ag 2.63
S 0.4932 0.8693 0.8693  2 Sb 2.57, 1 Ag 2.60
S 0.9932 0.1307 0.1307  2 Sb 2.57, 1 Ag 2.60

Results
energy relative to the elements, uncorrected: -0.063 eV/atom
spin magnetization: 0.00 μB/f.u.

Record 8
Compound: AgSb2S4
Source: Alexandria via LeMat-Bulk
Functional: PBE-GGA
Structure: relaxed

a = 3.8495 Å, b = 6.5225 Å, c = 13.2512 Å
α = 90.00°, β = 90.00°, γ = 107.16°
Closest atoms and distances in Å follow each position.
Positions (direct):
Ag 0.6002 0.2003 0.7500  2 S 2.61
Ag 0.3998 0.7997 0.2500  2 S 2.61
Sb 0.1350 0.2700 0.4263  6 S 2.61-2.85
Sb 0.8650 0.7300 0.9263  6 S 2.61-2.85
Sb 0.1350 0.2700 0.0737  6 S 2.61-2.85
Sb 0.8650 0.7300 0.5737  6 S 2.61-2.85
S 0.7716 0.5432 0.1222  3 Sb 2.65-2.85
S 0.7716 0.5432 0.3778  3 Sb 2.65-2.85
S 0.2284 0.4568 0.8778  3 Sb 2.65-2.85
S 0.2284 0.4568 0.6222  3 Sb 2.65-2.85
S 0.9587 0.9175 0.7500  2 Ag 2.61, 2 Sb 2.61
S 0.0413 0.0825 0.2500  2 Ag 2.61, 2 Sb 2.61
S 0.5000 0.0000 0.0000  4 Sb 2.74
S 0.5000 0.0000 0.5000  4 Sb 2.74

Results
excess energy over the best structure of this formula in the dataset: 0.053 eV per atom
energy relative to the elements, uncorrected: -0.088 eV/atom
spin magnetization: 0.00 μB/f.u.